(1)
## Te2IrF (GGA-PBE)

Data for crystalline Te2IrF at its relaxed geometry.

Unit cell a=6.110 b=6.110 c=7.194 alpha=64.87 beta=64.87 gamma=90.00
Atoms (fractional coordinates):
F 0.250 0.750 0.500
F 0.500 0.500 0.000
Te 0.375 0.352 0.750
Te 0.102 0.625 0.250
Te 0.648 0.125 0.250
Te 0.875 0.898 0.750
Ir 0.750 0.250 0.500
Ir 0.000 0.000 0.000

Results
As for the size of the total moment: 0.00 μB per atom. The calculation puts the distance to the lowest polymorph of the same formula at 415 meV/atom. The energy is -4.6006 eV per atom. The value obtained for the uncorrected formation energy is -0.347 eV per atom. The value obtained for the density is 7.21 g/cm³.

---

(2)
## Tb7Dy2Tm3 (GGA-PBE)

Data for crystalline Tb7Dy2Tm3 at its relaxed geometry.

Unit cell a=5.431 b=6.157 c=12.015 alpha=90.69 beta=90.00 gamma=90.00
Atoms (fractional coordinates):
Tb 0.500 0.238 0.455
Tb 0.000 0.439 0.180
Tb 0.500 0.087 0.170
Tb 0.500 0.762 0.545
Tb 0.000 0.000 0.000
Tb 0.500 0.913 0.830
Tb 0.000 0.561 0.820
Dy 0.500 0.605 0.277
Dy 0.500 0.395 0.723
Tm 0.000 0.057 0.658
Tm 0.000 0.943 0.342
Tm 0.500 0.500 0.000

Results
As for the size of the total moment: 0.00 μB per atom. The calculation puts the distance to the lowest polymorph of the same formula at 223 meV/atom. The energy is -4.2740 eV per atom. For the formation energy, the calculation gives 312 meV/atom. The value obtained for the density is 8.04 g/cm³.